1.
The following is a DFT calculation (PBE) of a relaxed structure of BaCaI4.

abc: 10.694 10.694 13.318
angles: 108.46 108.46 84.33
Sites, in units of the cell vectors:
Ba 0.206 0.794 0.000
Ba 0.208 0.208 0.356
Ba 0.792 0.792 0.644
Ba 0.794 0.206 0.000
Ca 0.175 0.175 0.840
Ca 0.176 0.824 0.500
Ca 0.824 0.176 0.500
Ca 0.825 0.825 0.160
I 0.146 0.146 0.583
I 0.146 0.852 0.742
I 0.148 0.854 0.258
I 0.149 0.149 0.067
I 0.154 0.529 0.424
I 0.156 0.470 0.907
I 0.470 0.156 0.907
I 0.471 0.846 0.576
I 0.529 0.154 0.424
I 0.530 0.844 0.093
I 0.844 0.530 0.093
I 0.846 0.471 0.576
I 0.851 0.851 0.933
I 0.852 0.146 0.742
I 0.854 0.148 0.258
I 0.854 0.854 0.417

- E above lowest polymorph: 0.0689 eV/atom
- Raw total energy: -3.295 eV/atom

2.
The following is a DFT calculation (PBE) of a relaxed structure of BaCa2I6.

abc: 8.601 8.601 11.454
angles: 97.19 97.19 36.70
Sites, in units of the cell vectors:
Ba 0.000 0.000 0.000
Ca 0.252 0.252 0.672
Ca 0.748 0.748 0.328
I 0.083 0.083 0.741
I 0.174 0.174 0.398
I 0.366 0.366 0.911
I 0.634 0.634 0.089
I 0.826 0.826 0.602
I 0.917 0.917 0.259

- E above lowest polymorph: 0.0706 eV/atom
- Raw total energy: -3.268 eV/atom

3.
The following is a DFT calculation (PBE) of a relaxed structure of Ba4CaI10.

abc: 10.120 10.120 10.120
angles: 99.60 99.60 131.79
Sites, in units of the cell vectors:
Ba 0.101 0.298 0.399
Ba 0.298 0.899 0.197
Ba 0.702 0.101 0.803
Ba 0.899 0.702 0.601
Ca 0.500 0.500 0.000
I 0.066 0.162 0.710
I 0.162 0.452 0.096
I 0.250 0.750 0.500
I 0.356 0.066 0.904
I 0.452 0.356 0.290
I 0.548 0.644 0.710
I 0.644 0.934 0.096
I 0.750 0.250 0.500
I 0.838 0.548 0.904
I 0.934 0.838 0.290

- Raw total energy: -3.393 eV/atom

4.
The following is a DFT calculation (PBE) of a relaxed structure of BaCa2I.

abc: 8.118 8.118 8.118
angles: 101.65 101.65 126.58
Sites, in units of the cell vectors:
Ba 0.000 0.000 0.000
Ba 0.750 0.250 0.500
Ca 0.192 0.625 0.067
Ca 0.375 0.442 0.567
Ca 0.558 0.125 0.933
Ca 0.875 0.808 0.433
I 0.250 0.750 0.500
I 0.500 0.500 0.000

- E above lowest polymorph: 0.0000 eV/atom
- Raw total energy: -2.214 eV/atom

5.
The following is a DFT calculation (PBE) of a relaxed structure of BaCaI4.

abc: 7.551 4.834 8.515
angles: 90.00 90.81 90.00
Sites, in units of the cell vectors:
Ba 0.000 0.000 0.000
Ca 0.000 0.500 0.500
I 0.228 0.000 0.358
I 0.242 0.500 0.807
I 0.758 0.500 0.193
I 0.772 0.000 0.642

- E above lowest polymorph: 0.0010 eV/atom
- Raw total energy: -3.362 eV/atom

6.
The following is a DFT calculation (PBE) of a relaxed structure of BaCa2I6.

abc: 14.131 14.131 7.188
angles: 90.00 90.00 120.00
Sites, in units of the cell vectors:
Ba 0.000 0.000 0.000
Ba 0.333 0.667 0.499
Ba 0.667 0.333 0.501
Ca 0.000 0.322 0.500
Ca 0.000 0.657 0.000
Ca 0.322 0.000 0.500
Ca 0.343 0.343 0.000
Ca 0.657 0.000 0.000
Ca 0.678 0.678 0.500
I 0.095 0.536 0.754
I 0.107 0.869 0.744
I 0.131 0.238 0.744
I 0.210 0.429 0.241
I 0.218 0.790 0.241
I 0.238 0.131 0.256
I 0.429 0.210 0.759
I 0.441 0.905 0.754
I 0.464 0.559 0.754
I 0.536 0.095 0.246
I 0.559 0.464 0.246
I 0.571 0.782 0.241
I 0.762 0.893 0.744
I 0.782 0.571 0.759
I 0.790 0.218 0.759
I 0.869 0.107 0.256
I 0.893 0.762 0.256
I 0.905 0.441 0.246

- E above lowest polymorph: 0.0331 eV/atom
- Raw total energy: -3.306 eV/atom